The following is a PBE calculation of an optimized crystal structure of Li4LaCd, from Alexandria.

Properties
The value obtained for the formation energy is -8.3 kJ/mol of atoms. Its crystal system is cubic. For the energy, the calculation gives -14.012 eV per formula unit. As for the total magnetization: 0.0 μB/f.u. The symmetry is F-43m.

a b c (Å): 5.6545 5.6545 5.6545
angles (deg): 60.00 60.00 60.00
With the nearest neighbours (Å) after each atom.
Element x y z (fractional)
Li: 0.1223 0.1223 0.1223  6 Li 2.77-2.89
Li: 0.1223 0.1223 0.6331  6 Li 2.77-2.89
Li: 0.1223 0.6331 0.1223  6 Li 2.77-2.89
Li: 0.6331 0.1223 0.1223  6 Li 2.77-2.89
La: 0.5000 0.5000 0.5000  12 Li 3.32, 4 Cd 3.46
Cd: 0.7500 0.7500 0.7500  12 Li 3.31, 4 La 3.46


The following is a PBE calculation of an optimized crystal structure of Li4La3Cd4, from Alexandria.

Properties
The value obtained for the formation energy is -20.2 kJ/mol of atoms. Its crystal system is orthorhombic. For the energy, the calculation gives -28.399 eV per formula unit. As for the total magnetization: 0.4 μB/f.u. The symmetry is Immm.

a b c (Å): 16.2646 16.2646 16.2646
angles (deg): 168.01 162.00 21.68
With the nearest neighbours (Å) after each atom.
Element x y z (fractional)
Li: 0.0931 0.0931 0.0000  3 Cd 2.90-3.00
Li: 0.2592 0.7592 0.5000  4 Cd 2.87-3.07, 4 Li 3.12
Li: 0.7408 0.2408 0.5000  4 Cd 2.87-3.07, 4 Li 3.12
Li: 0.9069 0.9069 0.0000  3 Cd 2.90-3.00
La: 0.0000 0.5000 0.5000  2 La 3.40, 4 Li 3.43, 8 Cd 3.44
La: 0.3582 0.3582 0.0000  6 Cd 3.38-3.41, 2 La 3.40, 6 Li 3.43-3.59
La: 0.6418 0.6418 0.0000  6 Cd 3.38-3.41, 2 La 3.40, 6 Li 3.43-3.59
Cd: 0.1869 0.1869 0.0000  5 Li 2.87-3.07
Cd: 0.4507 0.9507 0.5000  2 Li 2.90, 1 Cd 3.15
Cd: 0.5493 0.0493 0.5000  2 Li 2.90, 1 Cd 3.15
Cd: 0.8131 0.8131 0.0000  5 Li 2.87-3.07


The following is a PBE calculation of an optimized crystal structure of Li4LaCd2, from Alexandria.

Properties
The value obtained for the formation energy is -7.3 kJ/mol of atoms. Its crystal system is tetragonal. For the energy, the calculation gives -14.944 eV per formula unit. As for the total magnetization: 0.7 μB/f.u. The symmetry is P-4m2.

a b c (Å): 4.0150 4.0150 9.8469
angles (deg): 90.00 90.00 90.00
With the nearest neighbours (Å) after each atom.
Element x y z (fractional)
Li: 0.0000 0.0000 0.0000  8 Li 2.84-2.95, 4 Cd 2.96
Li: 0.0000 0.5000 0.2191  4 Cd 2.84, 4 Li 2.95
Li: 0.5000 0.0000 0.7809  4 Cd 2.84, 4 Li 2.95
Li: 0.5000 0.5000 0.0000  8 Li 2.84-2.95, 4 Cd 2.96
La: 0.5000 0.5000 0.5000  4 Cd 3.40, 4 Li 3.42
Cd: 0.0000 0.5000 0.7791  8 Li 2.84-2.96
Cd: 0.5000 0.0000 0.2209  8 Li 2.84-2.96


The following is a PBE calculation of an optimized crystal structure of Li2LaCd9, from Alexandria.

Properties
The value obtained for the formation energy is -11.5 kJ/mol of atoms. Its crystal system is hexagonal. For the energy, the calculation gives -18.427 eV per formula unit. As for the total magnetization: 0.0 μB/f.u. As for the energy above the most stable polymorph in this dataset: 0.124 eV per atom. The symmetry is P6/mmm.

a b c (Å): 8.8020 8.8020 4.0899
angles (deg): 90.00 90.00 120.00
With the nearest neighbours (Å) after each atom.
Element x y z (fractional)
Li: 0.3333 0.6667 0.0000  3 Cd 2.54
Li: 0.6667 0.3333 0.0000  3 Cd 2.54
La: 0.0000 0.0000 0.0000  12 Cd 3.63
Cd: 0.0000 0.5000 0.0000  2 Li 2.54
Cd: 0.1968 0.3936 0.5000  2 Li 2.92, 6 Cd 3.00-3.11
Cd: 0.1968 0.8032 0.5000  2 Li 2.92, 6 Cd 3.00-3.11
Cd: 0.3936 0.1968 0.5000  2 Li 2.92, 6 Cd 3.00-3.11
Cd: 0.5000 0.0000 0.0000  2 Li 2.54
Cd: 0.5000 0.5000 0.0000  2 Li 2.54
Cd: 0.6064 0.8032 0.5000  2 Li 2.92, 6 Cd 3.00-3.11
Cd: 0.8032 0.1968 0.5000  2 Li 2.92, 6 Cd 3.00-3.11
Cd: 0.8032 0.6064 0.5000  2 Li 2.92, 6 Cd 3.00-3.11


The following is a PBE calculation of an optimized crystal structure of Li5La2Cd12, from Alexandria.

Properties
The value obtained for the formation energy is -25.7 kJ/mol of atoms. Its crystal system is trigonal. For the energy, the calculation gives -35.460 eV per formula unit. As for the total magnetization: 0.0 μB/f.u. The symmetry is R-3m.

a b c (Å): 7.5376 7.5376 7.5376
angles (deg): 82.50 82.50 82.50
With the nearest neighbours (Å) after each atom.
Element x y z (fractional)
Li: 0.0000 0.0000 0.5000  8 Cd 2.84-2.87, 2 Li 3.04
Li: 0.0000 0.5000 0.0000  8 Cd 2.84-2.87, 2 Li 3.04
Li: 0.0982 0.0982 0.0982  4 Li 2.88-3.04, 3 Cd 3.05
Li: 0.5000 0.0000 0.0000  8 Cd 2.84-2.87, 2 Li 3.04
Li: 0.9018 0.9018 0.9018  4 Li 2.88-3.04, 3 Cd 3.05
La: 0.3462 0.3462 0.3462  15 Cd 3.53-3.87, 4 Li 3.64-3.89
La: 0.6538 0.6538 0.6538  15 Cd 3.53-3.87, 4 Li 3.64-3.89
Cd: 0.0000 0.2941 0.7059  2 Li 2.87, 6 Cd 2.92-3.07
Cd: 0.0000 0.7059 0.2941  2 Li 2.87, 6 Cd 2.92-3.07
Cd: 0.1397 0.6546 0.6546  3 Li 2.84-3.05, 6 Cd 3.00-3.07
Cd: 0.2941 0.0000 0.7059  2 Li 2.87, 6 Cd 2.92-3.07
Cd: 0.2941 0.7059 0.0000  2 Li 2.87, 6 Cd 2.92-3.07
Cd: 0.3454 0.3454 0.8603  3 Li 2.84-3.05, 6 Cd 3.00-3.07
Cd: 0.3454 0.8603 0.3454  3 Li 2.84-3.05, 6 Cd 3.00-3.07
Cd: 0.6546 0.1397 0.6546  3 Li 2.84-3.05, 6 Cd 3.00-3.07
Cd: 0.6546 0.6546 0.1397  3 Li 2.84-3.05, 6 Cd 3.00-3.07
Cd: 0.7059 0.0000 0.2941  2 Li 2.87, 6 Cd 2.92-3.07
Cd: 0.7059 0.2941 0.0000  2 Li 2.87, 6 Cd 2.92-3.07
Cd: 0.8603 0.3454 0.3454  3 Li 2.84-3.05, 6 Cd 3.00-3.07


The following is a PBE calculation of an optimized crystal structure of LiLa3Cd2, from Alexandria.

Properties
The value obtained for the formation energy is -18.4 kJ/mol of atoms. Its crystal system is tetragonal. For the energy, the calculation gives -19.668 eV per formula unit. As for the total magnetization: 0.5 μB/f.u. As for the energy above the most stable polymorph in this dataset: 0.010 eV per atom. The symmetry is P4/mmm.

a b c (Å): 3.9814 3.9814 11.4688
angles (deg): 90.00 90.00 90.00
With the nearest neighbours (Å) after each atom.
Element x y z (fractional)
Li: 0.0000 0.0000 0.0000  8 La 3.42, 2 Cd 3.79
La: 0.5000 0.5000 0.1698  4 Cd 3.37, 4 Li 3.42
La: 0.5000 0.5000 0.5000  8 Cd 3.42, 2 La 3.79
La: 0.5000 0.5000 0.8302  4 Cd 3.37, 4 Li 3.42
Cd: 0.0000 0.0000 0.3305  8 La 3.37-3.42
Cd: 0.0000 0.0000 0.6695  8 La 3.37-3.42